Record 1
ZnSN3 after structural relaxation. Source: the Alexandria database, functional PBE.

Summary:
Total energy   -4.311 eV per atom

Unit cell a=3.5242 b=3.5242 c=3.5242 alpha=90.00 beta=90.00 gamma=90.00
Fractional positions:
1 N 0.5000 0.0000 0.0000
2 N 0.0000 0.5000 0.0000
3 S 0.0000 0.0000 0.0000
4 N 0.0000 0.0000 0.5000
5 Zn 0.5000 0.5000 0.5000



Record 2
Y3BiS6 after structural relaxation. Source: the Alexandria database, functional PBE.

Summary:
Energy above the most stable polymorph in this dataset   0.0000 eV per atom

Unit cell a=4.0241 b=11.1902 c=11.3809 alpha=108.98 beta=90.00 gamma=90.00
Fractional positions:
1 Y 0.2500 0.3283 0.5024
2 Y 0.7500 0.6717 0.4976
3 S 0.2500 0.0815 0.9096
4 Y 0.2500 0.5683 0.1662
5 Bi 0.2500 0.9703 0.3144
6 S 0.2500 0.5191 0.3857
7 S 0.7500 0.3975 0.0637
8 S 0.2500 0.8862 0.5330
9 Bi 0.7500 0.0297 0.6856
10 S 0.7500 0.9185 0.0904
11 Y 0.2500 0.8393 0.9177
12 S 0.7500 0.7341 0.2783
13 S 0.7500 0.1138 0.4670
14 Y 0.7500 0.4317 0.8338
15 S 0.2500 0.6025 0.9363
16 S 0.2500 0.2659 0.7217
17 S 0.2500 0.1951 0.2536
18 Y 0.7500 0.1607 0.0823
19 S 0.7500 0.8049 0.7464
20 S 0.7500 0.4809 0.6143



Record 3
RuPt3Rh4 after structural relaxation. Source: the Alexandria database, functional PBE.

Summary:
Formation enthalpy at 0 K   0.3133 eV per atom
Energy above the most stable polymorph in this dataset   0.0158 eV per atom

Unit cell a=2.7120 b=4.3063 c=11.0322 alpha=101.25 beta=89.99 gamma=90.00
Fractional positions:
1 Rh 0.5002 0.2812 0.5624
2 Rh 0.4998 0.7188 0.4376
3 Pt 0.0001 0.8409 0.6818
4 Rh 0.5001 0.3992 0.7983
5 Pt 0.9999 0.1591 0.3182
6 Ru 0.0000 0.5000 0.0000
7 Rh 0.4999 0.6008 0.2017
8 Pt 0.5000 0.0000 0.0000



Record 4
La3AlIr2 after structural relaxation. Source: the Alexandria database, functional PBE.

Summary:
Formation enthalpy at 0 K   -0.6188 eV per atom

Unit cell a=7.3658 b=10.0509 c=9.7287 alpha=90.00 beta=117.95 gamma=90.00
Fractional positions:
1 Ir 0.2038 0.5552 0.7662
2 Al 0.9315 0.5767 0.8646
3 La 0.5847 0.3858 0.9016
4 La 0.4153 0.6142 0.0984
5 La 0.4483 0.7723 0.6839
6 Al 0.0685 0.4233 0.1354
7 Ir 0.7038 0.9448 0.2662
8 La 0.0517 0.2723 0.8161
9 Ir 0.8722 0.8201 0.8677
10 La 0.0847 0.1142 0.4016
11 La 0.9483 0.7277 0.1839
12 Ir 0.3722 0.6799 0.3677
13 Al 0.4315 0.9233 0.3646
14 La 0.7647 0.5499 0.5030
15 La 0.9153 0.8858 0.5984
16 La 0.5517 0.2277 0.3161
17 La 0.7353 0.0499 0.9970
18 Ir 0.1278 0.1799 0.1323
19 Ir 0.7962 0.4448 0.2338
20 La 0.2353 0.4501 0.4970
21 Ir 0.2962 0.0552 0.7338
22 Al 0.5685 0.0767 0.6354
23 La 0.2647 0.9501 0.0030
24 Ir 0.6278 0.3201 0.6323



Record 5
NaAcH6Ir after structural relaxation. Source: the Alexandria database, functional PBE.

Summary:
Total energy   -4.157 eV per atom

Unit cell a=5.1036 b=5.1036 c=4.6560 alpha=90.00 beta=90.00 gamma=60.00
Fractional positions:
1 H 0.4016 0.0628 0.7470
2 Na 0.6666 0.6667 0.4997
3 Ac 0.0000 0.0000 0.9996
4 H 0.0627 0.5357 0.7470
5 H 0.5360 0.0630 0.2532
6 H 0.0630 0.4009 0.2532
7 H 0.4009 0.5360 0.2532
8 H 0.5356 0.4016 0.7470
9 Ir 0.3333 0.3334 0.5001



Number 1: V 43.8 Å³ per cell, Fermi-level density of states 2.2 states/eV per cell. Number 2: V 484.6 Å³ per cell, Fermi-level density of states 0.0 states/eV per cell. Number 3: V 126.4 Å³ per cell, Fermi-level density of states 13.9 states/eV per cell. Number 4: V 636.2 Å³ per cell, Fermi-level density of states 16.9 states/eV per cell. Number 5: V 105.0 Å³ per cell, Fermi-level density of states 2.2 states/eV per cell.